# PmTiAs2O8

A geometry-optimized PmTiAs2O8 structure (GGA-PBE, Alexandria via LeMat-Bulk).

Summary:
Its space-group type is I-4m2, No. 119. The formation energy without anion corrections comes out at -191.5 kJ/mol of atoms.

Cell lengths 5.874, 5.874, 5.874 Å; angles 106.96, 106.96, 114.62 degrees
Fractional coordinates of all 12 atoms:
Pm1 0.000 0.000 0.000
O1 0.938 0.613 0.676
O2 0.387 0.062 0.324
O3 0.938 0.262 0.324
O4 0.474 0.678 0.795
O5 0.322 0.526 0.205
O6 0.738 0.062 0.676
O7 0.322 0.117 0.795
O8 0.883 0.678 0.205
Ti1 0.250 0.750 0.500
As1 0.750 0.250 0.500
As2 0.500 0.500 0.000

---

# SrTb2FeN4

A geometry-optimized SrTb2FeN4 structure (GGA-PBE, Alexandria via LeMat-Bulk).

Summary:
Its space-group type is Cmcm, No. 63. The formation energy without anion corrections comes out at -95.0 kJ/mol of atoms.

Cell lengths 3.449, 6.166, 11.707 Å; angles 90.00, 90.00, 106.24 degrees
Site moments in Bohr magnetons follow the coordinates.
Fractional coordinates of all 16 atoms:
Tb1 0.631 0.262 0.044  0.01
Tb2 0.369 0.738 0.956  0.01
Tb3 0.631 0.262 0.456  0.01
Tb4 0.369 0.738 0.544  0.01
Fe1 0.177 0.354 0.250  1.23
Fe2 0.823 0.646 0.750  1.23
N1 0.606 0.211 0.250  0.01
N2 0.261 0.521 0.123  0.08
N3 0.000 0.000 0.500  0.05
N4 0.739 0.479 0.623  0.08
N5 0.394 0.789 0.750  0.01
N6 0.739 0.479 0.877  0.08
N7 0.000 0.000 0.000  0.05
N8 0.261 0.521 0.377  0.08
Sr1 0.903 0.807 0.250  0.01
Sr2 0.097 0.193 0.750  0.01

---

# PrSm3Co2

A geometry-optimized PrSm3Co2 structure (GGA-PBE, Alexandria via LeMat-Bulk).

Summary:
Its space-group type is C2/m, No. 12. The value obtained for the formation energy is -0.068 eV/atom.

Cell lengths 3.786, 8.680, 10.199 Å; angles 79.67, 79.30, 77.41 degrees
Fractional coordinates of all 12 atoms:
Sm1 0.414 0.729 0.442
Sm2 0.585 0.777 0.053
Sm3 0.415 0.223 0.947
Sm4 0.841 0.066 0.252
Sm5 0.159 0.934 0.748
Sm6 0.586 0.271 0.558
Co1 0.765 0.423 0.048
Co2 0.235 0.577 0.952
Co3 0.766 0.922 0.546
Co4 0.234 0.078 0.454
Pr1 0.156 0.436 0.251
Pr2 0.844 0.564 0.749

---

# Ho5AgPt2

A geometry-optimized Ho5AgPt2 structure (GGA-PBE, Alexandria via LeMat-Bulk).

Summary:
Its space-group type is I4/mcm, No. 140. The value obtained for the formation energy is -0.782 eV/atom.

Cell lengths 7.802, 7.802, 8.578 Å; angles 117.05, 117.05, 90.00 degrees
Fractional coordinates of all 16 atoms:
Ho1 0.979 0.479 0.277
Ho2 0.201 0.021 0.723
Ho3 0.521 0.701 0.723
Ho4 0.701 0.201 0.723
Ho5 0.479 0.299 0.277
Ho6 0.021 0.521 0.723
Ho7 0.299 0.799 0.277
Ho8 0.500 0.500 0.000
Ho9 0.799 0.979 0.277
Ho10 0.000 0.000 0.000
Ag1 0.250 0.250 0.500
Ag2 0.750 0.750 0.500
Pt1 0.363 0.863 0.000
Pt2 0.637 0.137 0.000
Pt3 0.137 0.363 0.000
Pt4 0.863 0.637 0.000

---

# Li4TeS

A geometry-optimized Li4TeS structure (GGA-PBE, Alexandria via LeMat-Bulk).

Summary:
Its space-group type is P4/mmm, No. 123. The formation energy without anion corrections comes out at -110.3 kJ/mol of atoms.

Cell lengths 4.306, 4.306, 6.221 Å; angles 90.00, 90.00, 90.00 degrees
Fractional coordinates of all 6 atoms:
Li1 0.000 0.500 0.274
Li2 0.500 0.000 0.726
Li3 0.000 0.500 0.726
Li4 0.500 0.000 0.274
Te1 0.000 0.000 0.000
S1 0.500 0.500 0.500

---

# LiInAs2

A geometry-optimized LiInAs2 structure (GGA-PBE, Alexandria via LeMat-Bulk).

Summary:
Its space-group type is Imm2, No. 44. The value obtained for the formation energy is -0.167 eV/atom.

Cell lengths 6.309, 6.309, 6.309 Å; angles 146.52, 141.00, 52.32 degrees
Fractional coordinates of all 4 atoms:
As1 0.072 0.072 0.000
As2 0.239 0.739 0.500
In1 0.454 0.454 0.000
Li1 0.735 0.235 0.500

---

# SiIrRh2

A geometry-optimized SiIrRh2 structure (GGA-PBE, Alexandria via LeMat-Bulk).

Summary:
Its space-group type is Cmmm, No. 65. The formation energy without anion corrections comes out at -28.5 kJ/mol of atoms.

Cell lengths 4.602, 4.602, 2.754 Å; angles 90.00, 90.00, 108.56 degrees
Fractional coordinates of all 4 atoms:
Rh1 0.000 0.000 0.000
Rh2 0.500 0.500 0.000
Si1 0.500 0.000 0.500
Ir1 0.000 0.500 0.500

---

# HfIn3Pt

A geometry-optimized HfIn3Pt structure (GGA-PBE, Alexandria via LeMat-Bulk).

Summary:
Its space-group type is Pm-3m, No. 221. The value obtained for the formation energy is 0.353 eV/atom. The value obtained for the energy relative to the lowest polymorph listed for this composition is 0 meV per atom.

Cell lengths 5.113, 5.113, 5.113 Å; angles 90.00, 90.00, 90.00 degrees
Fractional coordinates of all 5 atoms:
In1 0.500 0.000 0.000
In2 0.000 0.000 0.500
In3 0.000 0.500 0.000
Pt1 0.000 0.000 0.000
Hf1 0.500 0.500 0.500

---

# BaCaCl2

A geometry-optimized BaCaCl2 structure (GGA-PBE, Alexandria via LeMat-Bulk).

Summary:
Its space-group type is P4/mmm, No. 123. The formation energy without anion corrections comes out at -145.6 kJ/mol of atoms. The value obtained for the energy relative to the lowest polymorph listed for this composition is 186 meV per atom.

Cell lengths 3.876, 3.876, 10.809 Å; angles 90.00, 90.00, 90.00 degrees
Fractional coordinates of all 4 atoms:
Ca1 0.500 0.500 0.750
Cl1 0.000 0.000 0.094
Cl2 0.000 0.000 0.406
Ba1 0.500 0.500 0.250

---

# Tm3TiTl3S8

A geometry-optimized Tm3TiTl3S8 structure (GGA-PBE, Alexandria via LeMat-Bulk).

Summary:
Its space-group type is R-3m, No. 166. The formation energy without anion corrections comes out at -137.9 kJ/mol of atoms.

Cell lengths 7.716, 7.716, 8.802 Å; angles 116.00, 90.00, 120.00 degrees
Fractional coordinates of all 15 atoms:
Tm1 0.500 0.500 0.500
Tm2 0.500 0.000 0.500
Tm3 0.000 0.500 0.500
Tl1 0.500 0.500 0.000
Tl2 0.000 0.000 0.000
Tl3 0.000 0.500 0.000
Ti1 0.000 0.000 0.500
S1 0.216 0.433 0.686
S2 0.247 0.030 0.314
S3 0.753 0.970 0.686
S4 0.784 0.030 0.314
S5 0.216 0.970 0.686
S6 0.784 0.567 0.314
S7 0.268 0.536 0.303
S8 0.732 0.464 0.697

---

# PrHo2In

A geometry-optimized PrHo2In structure (GGA-PBE, Alexandria via LeMat-Bulk).

Summary:
Its space-group type is R-3m, No. 166. The value obtained for the formation energy is 0.043 eV/atom. The value obtained for the energy relative to the lowest polymorph listed for this composition is 302 meV per atom.

Cell lengths 3.499, 3.499, 12.080 Å; angles 81.67, 81.67, 60.00 degrees
Fractional coordinates of all 4 atoms:
Ho1 0.097 0.097 0.710
Ho2 0.903 0.903 0.290
In1 0.500 0.500 0.500
Pr1 0.000 0.000 0.000

---

# PrTlPb

A geometry-optimized PrTlPb structure (GGA-PBE, Alexandria via LeMat-Bulk).

Summary:
Its space-group type is P3m1, No. 156. The value obtained for the formation energy is -0.339 eV/atom. The value obtained for the energy relative to the lowest polymorph listed for this composition is 28 meV per atom.

Cell lengths 4.433, 4.949, 4.949 Å; angles 120.00, 90.00, 90.00 degrees
Fractional coordinates of all 3 atoms:
Tl1 0.020 0.000 0.000
Pr1 0.679 0.667 0.333
Pb1 0.301 0.333 0.667